VASP calculation (PBE-GGA) on crystalline LiCd2Hg2 at its relaxed geometry.

Cell and atoms, written as POSCAR:
```
LiCd2Hg2
1.0
7.668 0.000 0.000
0.000 7.668 0.000
0.000 0.000 4.040
Hg Cd Li
4 4 2
direct
0.651 0.151 0.000
0.151 0.349 0.000
0.849 0.651 0.000
0.349 0.849 0.000
0.845 0.345 0.500
0.655 0.845 0.500
0.345 0.155 0.500
0.155 0.655 0.500
0.000 0.000 0.000
0.500 0.500 0.000
```

Properties
energy above the most stable polymorph in this dataset	58	meV/atom
raw total energy	-4.7	eV/f.u.